VASP calculation (PBE with a Hubbard U) on a relaxed NdEuFe4O12 crystal.

Geometry as POSCAR:
```
NdEuFe4O12
1.0
5.389 0.000 0.000
0.000 5.389 0.000
0.000 0.000 7.653
Nd Eu Fe O
1 1 4 12
Direct
0.000 0.000 0.000
0.500 0.500 0.500
0.000 0.500 0.251
0.000 0.500 0.749
0.500 0.000 0.251
0.500 0.000 0.749
0.000 0.500 0.000
0.000 0.500 0.500
0.248 0.248 0.247
0.248 0.248 0.753
0.248 0.752 0.247
0.248 0.752 0.753
0.500 0.000 0.000
0.500 0.000 0.500
0.752 0.248 0.247
0.752 0.248 0.753
0.752 0.752 0.247
0.752 0.752 0.753
```

For the magnetization, the calculation gives 1.39 μB/atom. The final energy comes out at -6.7673 eV per atom. The calculated density comes out at 5.32 g/cm3. Its space group is P4/mmm (123).